Version i
First-principles (PBE+U) data for a geometry-optimized VIr2F structure, as listed in Alexandria.

a = 4.2318 Å, b = 4.2318 Å, c = 4.2318 Å
α = 60.00°, β = 60.00°, γ = 60.00°
With the nearest neighbours (Å) after each atom.
Fractional coordinates of all 4 atoms:
V (0.5000, 0.5000, 0.5000)  8 Ir 2.59
F (0.0000, 0.0000, 0.0000)  8 Ir 2.59
Ir (0.7500, 0.7500, 0.7500)  4 V 2.59, 4 F 2.59
Ir (0.2500, 0.2500, 0.2500)  4 V 2.59, 4 F 2.59

N(E_F)   3.308 states/eV/f.u.
Calculated volume   13.40 A^3/atom
Magnetic moment   0.0 μB/cell

Version ii
First-principles (PBE+U) data for a geometry-optimized VIr2F structure, as listed in Alexandria.

a = 8.1794 Å, b = 8.1794 Å, c = 6.1395 Å
α = 48.23°, β = 48.23°, γ = 90.00°
With the nearest neighbours (Å) after each atom.
Fractional coordinates of all 8 atoms:
Ir (0.3750, 0.3021, 0.7500)  2 Ir 2.38, 2 V 2.56
F (0.5000, 0.5000, 0.0000)  2 V 2.06
Ir (0.8750, 0.9479, 0.7500)  2 Ir 2.38, 2 V 2.56
V (0.7500, 0.2500, 0.5000)  2 F 2.06
V (0.0000, 0.0000, 0.0000)  2 F 2.06
Ir (0.0521, 0.6250, 0.2500)  2 Ir 2.38, 2 V 2.56
F (0.2500, 0.7500, 0.5000)  2 V 2.06
Ir (0.6979, 0.1250, 0.2500)  2 Ir 2.38, 2 V 2.56

N(E_F)   3.158 states/eV/f.u.
Calculated volume   17.22 A^3/atom
Magnetic moment   2.1 μB/cell

Need the numbers? Relative energies in eV/atom: version i 0.135; version ii 0.000.